Entry from the Alexandria database: LuZnCuAu after structural relaxation (PBE-GGA).

Cell lengths 4.651, 4.651, 4.651 Å; angles 60.00, 60.00, 60.00 degrees
Positions (direct):
Au  0.750  0.750  0.750
Zn  0.000  0.000  0.000
Cu  0.250  0.250  0.250
Lu  0.500  0.500  0.500

Calculated values
Crystal system   cubic
Energy of formation from the pure elements   -425 meV/atom
Total DFT energy (no corrections)   -14.9 eV per cell